# 1
Density functional theory data (GGA-PBE) for an optimized crystal structure of Tl2CrCl.

Values from the calculation:
For the formation energy without anion corrections, the calculation gives 2.31 kJ per mole of atoms. Its final energy is -0.296 Ry/atom. As for the mass density: 6.96 Mg/m³.

Unit cell a=5.0735 b=5.4526 c=9.6748 alpha=87.26 beta=89.81 gamma=62.39
Fractional positions:
Tl (0.1255, 0.2384, 0.3726)
Tl (0.1713, 0.1556, 0.0467)
Tl (0.8287, 0.8444, 0.9533)
Tl (0.8745, 0.7616, 0.6274)
Cr (0.4508, 0.6013, 0.9199)
Cr (0.5492, 0.3987, 0.0801)
Cl (0.4563, 0.5810, 0.3038)
Cl (0.5437, 0.4190, 0.6962)



# 2
Density functional theory data (GGA-PBE) for an optimized crystal structure of ErTa2S5.

Values from the calculation:
For the formation energy without anion corrections, the calculation gives -105.17 kJ per mole of atoms. Its final energy is -0.529 Ry/atom. As for the mass density: 5.12 Mg/m³.

Unit cell a=6.6384 b=6.6384 c=6.6453 alpha=90.33 beta=90.33 gamma=130.21
Fractional positions:
Er (0.0000, 0.0000, 0.0000)
Ta (0.2928, 0.7072, 0.0000)
Ta (0.7072, 0.2928, 0.0000)
S (0.0093, 0.6659, 0.7587)
S (0.3341, 0.9907, 0.2413)
S (0.5000, 0.5000, 0.0000)
S (0.6659, 0.0093, 0.7587)
S (0.9907, 0.3341, 0.2413)



# 3
Density functional theory data (GGA-PBE) for an optimized crystal structure of Er6Tl2N.

Values from the calculation:
For the formation energy without anion corrections, the calculation gives -54.75 kJ per mole of atoms. Its final energy is -0.372 Ry/atom. As for the mass density: 10.66 Mg/m³.

Unit cell a=6.7977 b=6.7977 c=6.7977 alpha=60.00 beta=60.00 gamma=60.00
Fractional positions:
Er (0.2447, 0.2447, 0.7553)
Er (0.2447, 0.7553, 0.2447)
Er (0.2447, 0.7553, 0.7553)
Er (0.7553, 0.2447, 0.2447)
Er (0.7553, 0.2447, 0.7553)
Er (0.7553, 0.7553, 0.2447)
Tl (0.2500, 0.2500, 0.2500)
Tl (0.7500, 0.7500, 0.7500)
N (0.0000, 0.0000, 0.0000)



# 4
Density functional theory data (GGA-PBE) for an optimized crystal structure of InCoIr2.

Values from the calculation:
For the formation energy, the calculation gives 512 meV per atom. Its final energy is -0.469 Ry/atom. As for the mass density: 13.74 Mg/m³.

Unit cell a=9.2666 b=9.2666 c=9.2666 alpha=155.67 beta=155.67 gamma=34.68
Fractional positions:
In (0.0000, 0.0000, 0.0000)
In (0.7500, 0.2500, 0.5000)
Co (0.2500, 0.7500, 0.5000)
Co (0.5000, 0.5000, 0.0000)
Ir (0.1771, 0.6250, 0.0521)
Ir (0.3750, 0.4271, 0.5521)
Ir (0.5729, 0.1250, 0.9479)
Ir (0.8750, 0.8229, 0.4479)



# 5
Density functional theory data (GGA-PBE) for an optimized crystal structure of GaCu3S.

Values from the calculation:
For the formation energy without anion corrections, the calculation gives 77.76 kJ per mole of atoms. Its final energy is -0.227 Ry/atom. As for the mass density: 5.27 Mg/m³.

Unit cell a=4.5159 b=4.5159 c=4.5159 alpha=90.00 beta=90.00 gamma=90.00
Fractional positions:
Ga (0.0000, 0.0000, 0.0000)
Cu (0.0000, 0.0000, 0.5000)
Cu (0.0000, 0.5000, 0.0000)
Cu (0.5000, 0.0000, 0.0000)
S (0.5000, 0.5000, 0.5000)



# 6
Density functional theory data (GGA-PBE) for an optimized crystal structure of LiSi.

Values from the calculation:
For the formation energy without anion corrections, the calculation gives -18.89 kJ per mole of atoms. Its final energy is -0.284 Ry/atom. As for the mass density: 1.86 Mg/m³.

Unit cell a=7.2033 b=7.2033 c=7.2033 alpha=99.15 beta=99.15 gamma=132.99
Fractional positions:
Li (0.0266, 0.3312, 0.9665)
Li (0.1353, 0.9399, 0.4665)
Li (0.1688, 0.6353, 0.6954)
Li (0.4399, 0.4734, 0.8046)
Li (0.5601, 0.5266, 0.1954)
Li (0.8312, 0.3647, 0.3046)
Li (0.8647, 0.0601, 0.5335)
Li (0.9734, 0.6688, 0.0335)
Si (0.0472, 0.9839, 0.8419)
Si (0.2947, 0.4528, 0.4366)
Si (0.3581, 0.7947, 0.3419)
Si (0.4839, 0.1419, 0.9366)
Si (0.5161, 0.8581, 0.0634)
Si (0.6419, 0.2053, 0.6581)
Si (0.7053, 0.5472, 0.5634)
Si (0.9528, 0.0161, 0.1581)



# 7
Density functional theory data (GGA-PBE) for an optimized crystal structure of BaYNiPt2.

Values from the calculation:
For the formation energy, the calculation gives 919 meV per atom. Its final energy is -0.318 Ry/atom. As for the mass density: 7.95 Mg/m³.

Unit cell a=5.4588 b=5.4588 c=4.7318 alpha=90.00 beta=90.00 gamma=90.00
Fractional positions:
Ba (0.0000, 0.0000, 0.0000)
Y (0.5000, 0.5000, 0.5000)
Ni (0.0000, 0.0000, 0.5000)
Pt (0.0000, 0.5000, 0.0000)
Pt (0.5000, 0.0000, 0.0000)



# 8
Density functional theory data (GGA-PBE) for an optimized crystal structure of MgNbH.

Values from the calculation:
Its final energy is -0.368 Ry/atom. As for the mass density: 4.69 Mg/m³.

Unit cell a=2.9848 b=4.9650 c=5.6917 alpha=90.00 beta=97.38 gamma=90.00
Fractional positions:
Mg (0.0864, 0.0000, 0.3788)
Mg (0.9136, 0.5000, 0.6212)
Nb (0.3932, 0.4694, 0.1164)
Nb (0.6068, 0.9694, 0.8836)
H (0.1181, 0.2219, 0.8767)
H (0.8819, 0.7219, 0.1233)



# 9
Density functional theory data (GGA-PBE) for an optimized crystal structure of AlHg2Pd.

Values from the calculation:
For the formation energy, the calculation gives 91 meV per atom. Its final energy is -0.169 Ry/atom. As for the mass density: 10.74 Mg/m³.

Unit cell a=6.1208 b=6.1208 c=6.1208 alpha=101.92 beta=101.92 gamma=125.94
Fractional positions:
Al (0.0000, 0.0000, 0.0000)
Al (0.7500, 0.2500, 0.5000)
Hg (0.1173, 0.6250, 0.9923)
Hg (0.3750, 0.3673, 0.4923)
Hg (0.6327, 0.1250, 0.0077)
Hg (0.8750, 0.8827, 0.5077)
Pd (0.2500, 0.7500, 0.5000)
Pd (0.5000, 0.5000, 0.0000)



# 10
Density functional theory data (GGA-PBE) for an optimized crystal structure of TlCrTe2Au.

Values from the calculation:
For the formation energy without anion corrections, the calculation gives -6.04 kJ per mole of atoms. Its final energy is -0.321 Ry/atom. As for the mass density: 8.13 Mg/m³.

Unit cell a=8.4785 b=8.4785 c=5.8043 alpha=90.00 beta=90.00 gamma=136.08
Fractional positions:
Tl (0.2500, 0.7500, 0.8017)
Tl (0.7500, 0.2500, 0.1983)
Cr (0.2500, 0.2500, 0.5000)
Cr (0.7500, 0.7500, 0.5000)
Te (0.1239, 0.8761, 0.3069)
Te (0.3761, 0.6239, 0.3069)
Te (0.6239, 0.3761, 0.6931)
Te (0.8761, 0.1239, 0.6931)
Au (0.0000, 0.0000, 0.0000)
Au (0.5000, 0.5000, 0.0000)



# 11
Density functional theory data (GGA-PBE) for an optimized crystal structure of NdThCuAg.

Values from the calculation:
For the formation energy, the calculation gives -70 meV per atom. Its final energy is -0.357 Ry/atom. As for the mass density: 9.15 Mg/m³.

Unit cell a=5.1999 b=5.1999 c=5.1999 alpha=60.00 beta=60.00 gamma=60.00
Fractional positions:
Nd (0.0000, 0.0000, 0.0000)
Th (0.5000, 0.5000, 0.5000)
Cu (0.2500, 0.2500, 0.2500)
Ag (0.7500, 0.7500, 0.7500)



# 12
Density functional theory data (GGA-PBE) for an optimized crystal structure of Lu2TiBe.

Values from the calculation:
For the formation energy, the calculation gives 142 meV per atom. Its final energy is -0.369 Ry/atom. As for the mass density: 8.17 Mg/m³.

Unit cell a=3.2583 b=3.2583 c=7.7892 alpha=90.00 beta=90.00 gamma=90.00
Fractional positions:
Lu (0.0000, 0.0000, 0.2219)
Lu (0.0000, 0.0000, 0.7781)
Ti (0.5000, 0.5000, 0.5000)
Be (0.5000, 0.5000, 0.0000)



# 13
Density functional theory data (GGA-PBE) for an optimized crystal structure of Ti4PH2.

Values from the calculation:
Its final energy is -0.504 Ry/atom. As for the mass density: 4.27 Mg/m³.

Unit cell a=6.1790 b=6.1790 c=6.1790 alpha=103.36 beta=103.36 gamma=122.54
Fractional positions:
Ti (0.0491, 0.4052, 0.2572)
Ti (0.1480, 0.7919, 0.7428)
Ti (0.1552, 0.2991, 0.7572)
Ti (0.2081, 0.9509, 0.3561)
Ti (0.5419, 0.3980, 0.2428)
Ti (0.5948, 0.8520, 0.6439)
Ti (0.6020, 0.8448, 0.1439)
Ti (0.7009, 0.4581, 0.8561)
P (0.0000, 0.0000, 0.0000)
P (0.7500, 0.2500, 0.5000)
H (0.3149, 0.1250, 0.6899)
H (0.3750, 0.6851, 0.8101)
H (0.4351, 0.6250, 0.3101)
H (0.8750, 0.5649, 0.1899)



# 14
Density functional theory data (GGA-PBE) for an optimized crystal structure of AcTb2.

Values from the calculation:
For the formation energy, the calculation gives 255 meV per atom. Its final energy is -0.309 Ry/atom. As for the mass density: 8.00 Mg/m³.

Unit cell a=6.8396 b=6.8396 c=6.8396 alpha=60.00 beta=60.00 gamma=60.00
Fractional positions:
Ac (0.1250, 0.1250, 0.1250)
Ac (0.8750, 0.8750, 0.8750)
Tb (0.0000, 0.5000, 0.5000)
Tb (0.5000, 0.0000, 0.5000)
Tb (0.5000, 0.5000, 0.0000)
Tb (0.5000, 0.5000, 0.5000)



# 15
Density functional theory data (GGA-PBE) for an optimized crystal structure of UGaTc4.

Values from the calculation:
For the formation energy, the calculation gives 169 meV per atom. Its final energy is -0.671 Ry/atom. As for the mass density: 11.29 Mg/m³.

Unit cell a=5.2602 b=5.2602 c=5.2602 alpha=60.00 beta=60.00 gamma=60.00
Fractional positions:
U (0.0000, 0.0000, 0.0000)
Ga (0.7500, 0.7500, 0.7500)
Tc (0.3764, 0.3764, 0.3764)
Tc (0.3764, 0.3764, 0.8708)
Tc (0.3764, 0.8708, 0.3764)
Tc (0.8708, 0.3764, 0.3764)



# 16
Density functional theory data (GGA-PBE) for an optimized crystal structure of NbHgGe2O8.

Values from the calculation:
For the formation energy without anion corrections, the calculation gives -130.08 kJ per mole of atoms. Its final energy is -0.462 Ry/atom. As for the mass density: 5.32 Mg/m³.

Unit cell a=5.6079 b=5.6079 c=6.4960 alpha=90.00 beta=90.00 gamma=120.00
Fractional positions:
Nb (0.0000, 0.0000, 0.0000)
Hg (0.0000, 0.0000, 0.5000)
Ge (0.3333, 0.6667, 0.7212)
Ge (0.6667, 0.3333, 0.2788)
O (0.1616, 0.3231, 0.8109)
O (0.1616, 0.8384, 0.8109)
O (0.3231, 0.1616, 0.1891)
O (0.3333, 0.6667, 0.4519)
O (0.6667, 0.3333, 0.5481)
O (0.6769, 0.8384, 0.8109)
O (0.8384, 0.1616, 0.1891)
O (0.8384, 0.6769, 0.1891)



# 17
Density functional theory data (GGA-PBE) for an optimized crystal structure of Ta2BeI.

Values from the calculation:
For the formation energy without anion corrections, the calculation gives 84.85 kJ per mole of atoms. Its final energy is -0.468 Ry/atom. As for the mass density: 11.98 Mg/m³.

Unit cell a=4.6044 b=4.6044 c=4.6044 alpha=60.00 beta=60.00 gamma=60.00
Fractional positions:
Ta (0.2500, 0.2500, 0.2500)
Ta (0.7500, 0.7500, 0.7500)
Be (0.0000, 0.0000, 0.0000)
I (0.5000, 0.5000, 0.5000)



# 18
Density functional theory data (GGA-PBE) for an optimized crystal structure of K2HgBi3Pd4.

Values from the calculation:
For the formation energy, the calculation gives -300 meV per atom. Its final energy is -0.279 Ry/atom. As for the mass density: 8.43 Mg/m³.

Unit cell a=4.9595 b=4.9595 c=10.6666 alpha=90.00 beta=90.00 gamma=90.00
Fractional positions:
K (0.0000, 0.5000, 0.2486)
K (0.5000, 0.0000, 0.7514)
Hg (0.0000, 0.0000, 0.5000)
Bi (0.0000, 0.5000, 0.8823)
Bi (0.5000, 0.0000, 0.1177)
Bi (0.5000, 0.5000, 0.5000)
Pd (0.0000, 0.0000, 0.0000)
Pd (0.0000, 0.5000, 0.6224)
Pd (0.5000, 0.0000, 0.3776)
Pd (0.5000, 0.5000, 0.0000)



# 19
Density functional theory data (GGA-PBE) for an optimized crystal structure of KMg2InNi.

Values from the calculation:
For the formation energy, the calculation gives -48 meV per atom. Its final energy is -0.192 Ry/atom. As for the mass density: 3.37 Mg/m³.

Unit cell a=5.0731 b=5.0731 c=5.0033 alpha=90.00 beta=90.00 gamma=90.00
Fractional positions:
K (0.0000, 0.0000, 0.0000)
Mg (0.0000, 0.5000, 0.5000)
Mg (0.5000, 0.0000, 0.5000)
In (0.5000, 0.5000, 0.0000)
Ni (0.5000, 0.5000, 0.5000)



# 20
Density functional theory data (GGA-PBE) for an optimized crystal structure of SrIn2Ge.

Values from the calculation:
For the formation energy, the calculation gives -261 meV per atom. Its final energy is -0.236 Ry/atom. As for the mass density: 6.09 Mg/m³.

Unit cell a=4.6197 b=4.6197 c=4.9817 alpha=90.00 beta=90.00 gamma=90.00
Fractional positions:
Sr (0.0000, 0.0000, 0.0000)
In (0.0000, 0.5000, 0.5000)
In (0.5000, 0.0000, 0.5000)
Ge (0.5000, 0.5000, 0.0000)



# 21
Density functional theory data (GGA-PBE) for an optimized crystal structure of LiCe2Cd6Ag.

Values from the calculation:
For the formation energy, the calculation gives 1 meV per atom. Its final energy is -0.163 Ry/atom. As for the mass density: 7.08 Mg/m³.

Unit cell a=6.8552 b=6.8554 c=7.3220 alpha=62.11 beta=89.97 gamma=60.02
Fractional positions:
Li (0.0000, 0.0000, 0.0000)
Ce (0.2188, 0.5609, 0.6564)
Ce (0.7812, 0.4391, 0.3436)
Cd (0.2391, 0.0706, 0.1731)
Cd (0.2423, 0.5174, 0.1745)
Cd (0.3109, 0.9307, 0.8280)
Cd (0.6891, 0.0693, 0.1720)
Cd (0.7577, 0.4826, 0.8255)
Cd (0.7609, 0.9294, 0.8269)
Ag (0.5000, 0.0000, 0.5000)